[1]
# SrCr3 (PBE, relaxed)
data_SrCr3
_space_group_name_H-M_alt 'C m c m'
_space_group_IT_number 63
_space_group_name_Hall '-C 2c 2'
_cell_length_a 6.9321
_cell_length_b 14.5163
_cell_length_c 2.8708
_cell_angle_alpha 90.00
_cell_angle_beta 90.00
_cell_angle_gamma 90.00
loop_
_atom_site_label
_atom_site_type_symbol
_atom_site_fract_x
_atom_site_fract_y
_atom_site_fract_z
Sr1 Sr 0.0000 0.1141 0.2500
Cr1 Cr 0.0000 0.4422 0.2500
Cr2 Cr 0.1393 0.3049 0.7500
# **DOS at the Fermi energy**: 0.9354 states/eV per atom
# **E_form**: 22.04 kcal/mol of atoms

***

[2]
# SrCr (PBE, relaxed)
data_SrCr
_space_group_name_H-M_alt 'R -3 m'
_space_group_IT_number 166
_space_group_name_Hall '-R 3 2"'
_cell_length_a 3.9298
_cell_length_b 3.9298
_cell_length_c 15.4211
_cell_angle_alpha 90.00
_cell_angle_beta 90.00
_cell_angle_gamma 120.00
loop_
_atom_site_label
_atom_site_type_symbol
_atom_site_fract_x
_atom_site_fract_y
_atom_site_fract_z
Sr1 Sr 0.0000 0.0000 0.0000
Cr1 Cr 0.0000 0.0000 0.5000
# **DOS at the Fermi energy**: 0.9553 states/eV per atom
# **E_form**: 23.86 kcal/mol of atoms

***

[3]
# SrCr2 (PBE, relaxed)
data_SrCr2
_space_group_name_H-M_alt 'I 4/m m m'
_space_group_IT_number 139
_space_group_name_Hall '-I 4 2'
_cell_length_a 3.1649
_cell_length_b 3.1649
_cell_length_c 11.7401
_cell_angle_alpha 90.00
_cell_angle_beta 90.00
_cell_angle_gamma 90.00
loop_
_atom_site_label
_atom_site_type_symbol
_atom_site_fract_x
_atom_site_fract_y
_atom_site_fract_z
Sr1 Sr 0.0000 0.0000 0.0000
Cr1 Cr 0.0000 0.0000 0.2808
# **DOS at the Fermi energy**: 1.6029 states/eV per atom
# **E_form**: 19.15 kcal/mol of atoms

***

[4]
# SrCr (PBE, relaxed)
data_SrCr
_space_group_name_H-M_alt 'F m -3 m'
_space_group_IT_number 225
_space_group_name_Hall '-F 4 2 3'
_cell_length_a 6.7135
_cell_length_b 6.7135
_cell_length_c 6.7135
_cell_angle_alpha 90.00
_cell_angle_beta 90.00
_cell_angle_gamma 90.00
loop_
_atom_site_label
_atom_site_type_symbol
_atom_site_fract_x
_atom_site_fract_y
_atom_site_fract_z
Sr1 Sr 0.0000 0.0000 0.0000
Cr1 Cr 0.0000 0.0000 0.5000
# **DOS at the Fermi energy**: 1.0882 states/eV per atom
# **E_form**: 24.84 kcal/mol of atoms

***

[5]
# SrTa4Cr (PBE, relaxed)
data_SrTa4Cr
_space_group_name_H-M_alt 'F -4 3 m'
_space_group_IT_number 216
_space_group_name_Hall 'F -4 2 3'
_cell_length_a 8.0299
_cell_length_b 8.0299
_cell_length_c 8.0299
_cell_angle_alpha 90.00
_cell_angle_beta 90.00
_cell_angle_gamma 90.00
loop_
_atom_site_label
_atom_site_type_symbol
_atom_site_fract_x
_atom_site_fract_y
_atom_site_fract_z
Sr1 Sr 0.0000 0.0000 0.0000
Ta1 Ta 0.1261 0.1261 0.6261
Cr1 Cr 0.2500 0.2500 0.2500
# **DOS at the Fermi energy**: 1.3151 states/eV per atom
# **E_form**: 18.78 kcal/mol of atoms

***

[6]
# SrTaCr (PBE, relaxed)
data_SrTaCr
_space_group_name_H-M_alt 'I 4 m m'
_space_group_IT_number 107
_space_group_name_Hall 'I 4 -2'
_cell_length_a 3.3749
_cell_length_b 3.3749
_cell_length_c 12.1362
_cell_angle_alpha 90.00
_cell_angle_beta 90.00
_cell_angle_gamma 90.00
loop_
_atom_site_label
_atom_site_type_symbol
_atom_site_fract_x
_atom_site_fract_y
_atom_site_fract_z
Sr1 Sr 0.0000 0.0000 0.0000
Ta1 Ta 0.0000 0.0000 0.2813
Cr1 Cr 0.0000 0.0000 0.7027
# **Excess energy over the best structure of this formula in the dataset**: 0 meV/atom
# **DOS at the Fermi energy**: 0.8543 states/eV per atom
# **E_form**: 16.14 kcal/mol of atoms

***

[7]
# SrTaCr (PBE, relaxed)
data_SrTaCr
_space_group_name_H-M_alt 'P 3 m 1'
_space_group_IT_number 156
_cell_length_a 3.2820
_cell_length_b 3.2820
_cell_length_c 7.1958
_cell_angle_alpha 90.00
_cell_angle_beta 90.00
_cell_angle_gamma 120.00
loop_
_space_group_symop_operation_xyz
'x,y,z'
'-y,x-y,z'
'-x+y,-x,z'
'-y,-x,z'
'-x+y,y,z'
'x,x-y,z'
loop_
_atom_site_label
_atom_site_type_symbol
_atom_site_fract_x
_atom_site_fract_y
_atom_site_fract_z
Sr1 Sr 0.0000 0.0000 0.0000
Ta1 Ta 0.6667 0.3333 0.4164
Cr1 Cr 0.3333 0.6667 0.6372
# **Excess energy over the best structure of this formula in the dataset**: 276 meV/atom
# **DOS at the Fermi energy**: 1.1952 states/eV per atom
# **E_form**: 22.50 kcal/mol of atoms

***

[8]
# SrTaCr (PBE, relaxed)
data_SrTaCr
_space_group_name_H-M_alt 'F -4 3 m'
_space_group_IT_number 216
_space_group_name_Hall 'F -4 2 3'
_cell_length_a 6.7030
_cell_length_b 6.7030
_cell_length_c 6.7030
_cell_angle_alpha 90.00
_cell_angle_beta 90.00
_cell_angle_gamma 90.00
loop_
_atom_site_label
_atom_site_type_symbol
_atom_site_fract_x
_atom_site_fract_y
_atom_site_fract_z
Sr1 Sr 0.0000 0.0000 0.0000
Ta1 Ta 0.0000 0.0000 0.5000
Cr1 Cr 0.2500 0.2500 0.7500
# **Excess energy over the best structure of this formula in the dataset**: 742 meV/atom
# **DOS at the Fermi energy**: 1.2502 states/eV per atom
# **E_form**: 33.25 kcal/mol of atoms

***

[9]
# SrTaCr (PBE, relaxed)
data_SrTaCr
_space_group_name_H-M_alt 'F -4 3 m'
_space_group_IT_number 216
_space_group_name_Hall 'F -4 2 3'
_cell_length_a 7.1540
_cell_length_b 7.1540
_cell_length_c 7.1540
_cell_angle_alpha 90.00
_cell_angle_beta 90.00
_cell_angle_gamma 90.00
loop_
_atom_site_label
_atom_site_type_symbol
_atom_site_fract_x
_atom_site_fract_y
_atom_site_fract_z
Sr1 Sr 0.0000 0.0000 0.0000
Ta1 Ta 0.2500 0.2500 0.2500
Cr1 Cr 0.2500 0.2500 0.7500
# **Excess energy over the best structure of this formula in the dataset**: 1569 meV/atom
# **DOS at the Fermi energy**: 1.7375 states/eV per atom
# **E_form**: 52.32 kcal/mol of atoms

***

[10]
# Sr3TaCr (PBE, relaxed)
data_Sr3TaCr
_space_group_name_H-M_alt 'P m -3 m'
_space_group_IT_number 221
_space_group_name_Hall '-P 4 2 3'
_cell_length_a 5.9232
_cell_length_b 5.9232
_cell_length_c 5.9232
_cell_angle_alpha 90.00
_cell_angle_beta 90.00
_cell_angle_gamma 90.00
loop_
_atom_site_label
_atom_site_type_symbol
_atom_site_fract_x
_atom_site_fract_y
_atom_site_fract_z
Sr1 Sr 0.0000 0.0000 0.5000
Ta1 Ta 0.5000 0.5000 0.5000
Cr1 Cr 0.0000 0.0000 0.0000
# **Excess energy over the best structure of this formula in the dataset**: 114 meV/atom
# **DOS at the Fermi energy**: 1.3780 states/eV per atom
# **E_form**: 35.32 kcal/mol of atoms

***

[11]
# Sr3TaCr (PBE, relaxed)
data_Sr3TaCr
_space_group_name_H-M_alt 'P m -3 m'
_space_group_IT_number 221
_space_group_name_Hall '-P 4 2 3'
_cell_length_a 5.9470
_cell_length_b 5.9470
_cell_length_c 5.9470
_cell_angle_alpha 90.00
_cell_angle_beta 90.00
_cell_angle_gamma 90.00
loop_
_atom_site_label
_atom_site_type_symbol
_atom_site_fract_x
_atom_site_fract_y
_atom_site_fract_z
Sr1 Sr 0.0000 0.0000 0.5000
Ta1 Ta 0.0000 0.0000 0.0000
Cr1 Cr 0.5000 0.5000 0.5000
# **Excess energy over the best structure of this formula in the dataset**: 0 meV/atom
# **DOS at the Fermi energy**: 1.2191 states/eV per atom
# **E_form**: 32.70 kcal/mol of atoms

***

[12]
# SrTa3Cr (PBE, relaxed)
data_SrTa3Cr
_space_group_name_H-M_alt 'P m -3 m'
_space_group_IT_number 221
_space_group_name_Hall '-P 4 2 3'
_cell_length_a 4.8662
_cell_length_b 4.8662
_cell_length_c 4.8662
_cell_angle_alpha 90.00
_cell_angle_beta 90.00
_cell_angle_gamma 90.00
loop_
_atom_site_label
_atom_site_type_symbol
_atom_site_fract_x
_atom_site_fract_y
_atom_site_fract_z
Sr1 Sr 0.0000 0.0000 0.0000
Ta1 Ta 0.0000 0.0000 0.5000
Cr1 Cr 0.5000 0.5000 0.5000
# **Excess energy over the best structure of this formula in the dataset**: 2084 meV/atom
# **DOS at the Fermi energy**: 1.8620 states/eV per atom
# **E_form**: 70.52 kcal/mol of atoms

***

[13]
# SrTaCr4 (PBE, relaxed)
data_SrTaCr4
_space_group_name_H-M_alt 'F -4 3 m'
_space_group_IT_number 216
_space_group_name_Hall 'F -4 2 3'
_cell_length_a 7.2189
_cell_length_b 7.2189
_cell_length_c 7.2189
_cell_angle_alpha 90.00
_cell_angle_beta 90.00
_cell_angle_gamma 90.00
loop_
_atom_site_label
_atom_site_type_symbol
_atom_site_fract_x
_atom_site_fract_y
_atom_site_fract_z
Sr1 Sr 0.0000 0.0000 0.0000
Ta1 Ta 0.2500 0.2500 0.7500
Cr1 Cr 0.1249 0.1249 0.3751
# **DOS at the Fermi energy**: 1.4404 states/eV per atom
# **E_form**: 16.48 kcal/mol of atoms

***

[14]
# SrTa3Cr (PBE, relaxed)
data_SrTa3Cr
_space_group_name_H-M_alt 'P m -3 m'
_space_group_IT_number 221
_space_group_name_Hall '-P 4 2 3'
_cell_length_a 4.8064
_cell_length_b 4.8064
_cell_length_c 4.8064
_cell_angle_alpha 90.00
_cell_angle_beta 90.00
_cell_angle_gamma 90.00
loop_
_atom_site_label
_atom_site_type_symbol
_atom_site_fract_x
_atom_site_fract_y
_atom_site_fract_z
Sr1 Sr 0.0000 0.0000 0.0000
Ta1 Ta 0.0000 0.5000 0.5000
Cr1 Cr 0.5000 0.5000 0.5000
# **Excess energy over the best structure of this formula in the dataset**: 0 meV/atom
# **DOS at the Fermi energy**: 1.0382 states/eV per atom
# **E_form**: 22.47 kcal/mol of atoms

***

[15]
# SrTaCr2Tc (PBE, relaxed)
data_SrTaCr2Tc
_space_group_name_H-M_alt 'P 4/m m m'
_space_group_IT_number 123
_space_group_name_Hall '-P 4 2'
_cell_length_a 4.6352
_cell_length_b 4.6352
_cell_length_c 5.1851
_cell_angle_alpha 90.00
_cell_angle_beta 90.00
_cell_angle_gamma 90.00
loop_
_atom_site_label
_atom_site_type_symbol
_atom_site_fract_x
_atom_site_fract_y
_atom_site_fract_z
Sr1 Sr 0.0000 0.0000 0.0000
Ta1 Ta 0.5000 0.5000 0.0000
Cr1 Cr 0.0000 0.5000 0.5000
Tc1 Tc 0.0000 0.0000 0.5000
# **DOS at the Fermi energy**: 1.3232 states/eV per atom
# **E_form**: 39.05 kcal/mol of atoms

***

[16]
# SrTaVCr2 (PBE, relaxed)
data_SrTaVCr2
_space_group_name_H-M_alt 'P 4/m m m'
_space_group_IT_number 123
_space_group_name_Hall '-P 4 2'
_cell_length_a 4.6939
_cell_length_b 4.6939
_cell_length_c 5.0518
_cell_angle_alpha 90.00
_cell_angle_beta 90.00
_cell_angle_gamma 90.00
loop_
_atom_site_label
_atom_site_type_symbol
_atom_site_fract_x
_atom_site_fract_y
_atom_site_fract_z
Sr1 Sr 0.0000 0.0000 0.0000
Ta1 Ta 0.0000 0.0000 0.5000
V1 V 0.5000 0.5000 0.5000
Cr1 Cr 0.0000 0.5000 0.0000
# **DOS at the Fermi energy**: 1.6563 states/eV per atom
# **E_form**: 65.53 kcal/mol of atoms

***

[17]
# Sr2TaZnCr (PBE, relaxed)
data_Sr2TaZnCr
_space_group_name_H-M_alt 'P 4/m m m'
_space_group_IT_number 123
_space_group_name_Hall '-P 4 2'
_cell_length_a 5.8211
_cell_length_b 5.8211
_cell_length_c 4.6023
_cell_angle_alpha 90.00
_cell_angle_beta 90.00
_cell_angle_gamma 90.00
loop_
_atom_site_label
_atom_site_type_symbol
_atom_site_fract_x
_atom_site_fract_y
_atom_site_fract_z
Sr1 Sr 0.0000 0.5000 0.0000
Ta1 Ta 0.0000 0.0000 0.5000
Zn1 Zn 0.5000 0.5000 0.0000
Cr1 Cr 0.5000 0.5000 0.5000
# **DOS at the Fermi energy**: 1.1820 states/eV per atom
# **E_form**: 35.62 kcal/mol of atoms

***

[18]
# SrCrTc3 (PBE, relaxed)
data_SrCrTc3
_space_group_name_H-M_alt 'P m -3 m'
_space_group_IT_number 221
_space_group_name_Hall '-P 4 2 3'
_cell_length_a 4.6586
_cell_length_b 4.6586
_cell_length_c 4.6586
_cell_angle_alpha 90.00
_cell_angle_beta 90.00
_cell_angle_gamma 90.00
loop_
_atom_site_label
_atom_site_type_symbol
_atom_site_fract_x
_atom_site_fract_y
_atom_site_fract_z
Sr1 Sr 0.0000 0.0000 0.0000
Cr1 Cr 0.5000 0.5000 0.5000
Tc1 Tc 0.0000 0.0000 0.5000
# **Excess energy over the best structure of this formula in the dataset**: 2356 meV/atom
# **DOS at the Fermi energy**: 1.8228 states/eV per atom
# **E_form**: 76.24 kcal/mol of atoms

***

[19]
# SrCr2Tc (PBE, relaxed)
data_SrCr2Tc
_space_group_name_H-M_alt 'C 1 2/m 1'
_space_group_IT_number 12
_cell_length_a 5.8233
_cell_length_b 8.9581
_cell_length_c 2.6482
_cell_angle_alpha 90.00
_cell_angle_beta 109.10
_cell_angle_gamma 90.00
loop_
_space_group_symop_operation_xyz
'x,y,z'
'-x,-y,-z'
'-x,y,-z'
'x,-y,z'
'x+1/2,y+1/2,z'
'-x+1/2,-y+1/2,-z'
'-x+1/2,y+1/2,-z'
'x+1/2,-y+1/2,z'
loop_
_atom_site_label
_atom_site_type_symbol
_atom_site_fract_x
_atom_site_fract_y
_atom_site_fract_z
Sr1 Sr 0.0000 0.0000 0.0000
Cr1 Cr 0.2500 0.2500 0.5000
Tc1 Tc 0.0000 0.5000 0.0000
# **Excess energy over the best structure of this formula in the dataset**: 653 meV/atom
# **DOS at the Fermi energy**: 1.2395 states/eV per atom
# **E_form**: 28.66 kcal/mol of atoms

***

[20]
# SrCrTc2 (PBE, relaxed)
data_SrCrTc2
_space_group_name_H-M_alt 'I m m m'
_space_group_IT_number 71
_space_group_name_Hall '-I 2 2'
_cell_length_a 2.9293
_cell_length_b 5.1348
_cell_length_c 9.5112
_cell_angle_alpha 90.00
_cell_angle_beta 90.00
_cell_angle_gamma 90.00
loop_
_atom_site_label
_atom_site_type_symbol
_atom_site_fract_x
_atom_site_fract_y
_atom_site_fract_z
Sr1 Sr 0.0000 0.0000 0.0000
Cr1 Cr 0.0000 0.0000 0.5000
Tc1 Tc 0.0000 0.5000 0.2082
# **Excess energy over the best structure of this formula in the dataset**: 269 meV/atom
# **DOS at the Fermi energy**: 1.0974 states/eV per atom
# **E_form**: 19.20 kcal/mol of atoms